## P
This record from Alexandria via LeMat-Bulk describes crystalline Pm4Nd2Sm at its relaxed geometry. The functional is PBE.

Cell and atoms, written as POSCAR:
```
Pm4Nd2Sm
1.0
3.657 0.000 0.000
1.828 3.167 0.000
1.828 1.056 20.855
Pm Nd Sm
4 2 1
direct
0.857 0.857 0.429
0.143 0.143 0.571
0.714 0.714 0.858
0.286 0.286 0.142
0.428 0.428 0.715
0.572 0.572 0.285
0.000 0.000 0.000
```

=====

## Q
This record from Alexandria via LeMat-Bulk describes crystalline Pm4Nd2Sm at its relaxed geometry. The functional is PBE.

Cell and atoms, written as POSCAR:
```
Pm4Nd2Sm
1.0
6.938 -1.100 0.628
1.410 10.193 2.271
-2.874 -1.030 6.409
Nd Sm Pm
4 2 8
direct
0.000 0.000 0.000
0.000 0.000 0.500
0.500 0.000 0.500
0.000 0.500 0.500
0.000 0.500 0.000
0.500 0.500 0.000
0.270 0.715 0.309
0.729 0.715 0.690
0.271 0.285 0.310
0.731 0.783 0.190
0.269 0.782 0.810
0.269 0.217 0.810
0.730 0.285 0.691
0.731 0.218 0.190
```

=====

Verdict on stability: P comes out on top.

=====

## P
This record from Alexandria via LeMat-Bulk describes crystalline Pm3Nd2Sm8 at its relaxed geometry. The functional is PBE.

Cell and atoms, written as POSCAR:
```
Pm3Nd2Sm8
1.0
-5.271 0.082 4.445
5.348 -3.879 6.413
0.312 8.629 -1.651
Pm Sm Nd
3 8 2
direct
0.500 0.000 0.000
0.000 0.830 0.000
0.000 0.170 0.000
0.873 0.584 0.169
0.432 0.434 0.228
0.432 0.794 0.228
0.568 0.566 0.772
0.796 0.208 0.416
0.568 0.206 0.772
0.204 0.792 0.584
0.127 0.416 0.831
0.716 0.799 0.598
0.284 0.201 0.402
```

=====

## Q
This record from Alexandria via LeMat-Bulk describes crystalline Pm3Nd2Sm8 at its relaxed geometry. The functional is PBE.

Cell and atoms, written as POSCAR:
```
Pm3Nd2Sm8
1.0
5.081 0.795 0.380
-1.364 6.363 4.878
-3.391 -1.046 12.634
Sm Pm Nd
8 3 2
direct
0.923 0.538 0.847
0.077 0.462 0.153
0.385 0.307 0.770
0.692 0.154 0.384
0.154 0.925 0.307
0.846 0.075 0.693
0.308 0.846 0.616
0.615 0.693 0.230
0.462 0.770 0.923
0.538 0.230 0.077
0.000 0.000 0.000
0.231 0.384 0.461
0.769 0.616 0.539
```

=====

Verdict on stability: Q comes out on top.

=====

## P
This record from Alexandria via LeMat-Bulk describes crystalline Pm5Nd3Sm at its relaxed geometry. The functional is PBE.

Cell and atoms, written as POSCAR:
```
Pm5Nd3Sm
1.0
-5.752 4.725 5.865
-0.757 -1.080 9.385
3.466 8.254 8.694
Nd Pm Sm
6 10 2
direct
0.297 0.297 0.303
0.842 0.842 0.353
0.000 0.000 0.000
0.000 0.000 0.500
0.158 0.158 0.647
0.703 0.703 0.697
0.907 0.518 0.226
0.639 0.639 0.053
0.518 0.907 0.226
0.482 0.093 0.774
0.317 0.683 0.000
0.443 0.443 0.418
0.557 0.557 0.582
0.683 0.317 0.000
0.361 0.361 0.947
0.093 0.482 0.774
0.112 0.112 0.129
0.888 0.888 0.871
```

=====

## Q
This record from Alexandria via LeMat-Bulk describes crystalline Pm5Nd3Sm at its relaxed geometry. The functional is PBE.

Cell and atoms, written as POSCAR:
```
Pm5Nd3Sm
1.0
-7.401 4.682 -3.744
-0.857 -10.093 1.187
-2.745 1.023 6.704
Pm Nd Sm
10 6 2
direct
0.319 0.000 0.750
0.839 0.325 0.500
0.486 0.325 0.500
0.486 0.325 0.000
0.839 0.325 0.000
0.681 0.000 0.250
0.514 0.675 0.000
0.161 0.675 0.500
0.161 0.675 0.000
0.514 0.675 0.500
0.183 0.366 0.250
0.183 0.366 0.750
0.817 0.634 0.250
0.000 0.000 0.500
0.000 0.000 0.000
0.817 0.634 0.750
0.320 0.000 0.250
0.680 0.000 0.750
```

=====

Verdict on stability: Q comes out on top.

=====

## P
This record from Alexandria via LeMat-Bulk describes crystalline Pm12Nd7Sm at its relaxed geometry. The functional is PBE.

Cell and atoms, written as POSCAR:
```
Pm12Nd7Sm
1.0
-8.266 3.119 -1.229
-3.447 -5.453 6.160
0.851 6.067 6.483
Pm Nd Sm
12 7 1
direct
0.853 0.254 0.724
0.508 0.383 0.865
0.492 0.617 0.135
0.383 0.865 0.508
0.276 0.147 0.746
0.254 0.724 0.853
0.135 0.492 0.617
0.865 0.508 0.383
0.746 0.276 0.147
0.617 0.135 0.492
0.147 0.746 0.276
0.724 0.853 0.254
0.849 0.605 0.924
0.076 0.151 0.395
0.500 0.500 0.500
0.924 0.849 0.605
0.151 0.395 0.076
0.395 0.076 0.151
0.605 0.924 0.849
0.000 0.000 0.000
```

=====

## Q
This record from Alexandria via LeMat-Bulk describes crystalline Pm12Nd7Sm at its relaxed geometry. The functional is PBE.

Cell and atoms, written as POSCAR:
```
Pm12Nd7Sm
1.0
-2.934 -9.596 -0.516
5.575 1.359 8.248
-8.082 5.956 0.402
Pm Nd Sm
12 7 1
direct
0.248 0.999 0.751
0.001 0.249 0.752
0.249 0.248 0.498
0.999 0.751 0.248
0.752 0.502 0.751
0.752 0.001 0.249
0.751 0.752 0.502
0.249 0.752 0.001
0.248 0.498 0.249
0.498 0.249 0.248
0.502 0.751 0.752
0.751 0.248 0.999
0.000 0.500 0.000
0.000 0.500 0.500
0.500 0.000 0.500
0.500 0.500 0.500
0.500 0.500 0.000
0.500 0.000 0.000
0.000 0.000 0.500
0.000 0.000 0.000
```

=====

Verdict on stability: P comes out on top.

=====

## P
This record from Alexandria via LeMat-Bulk describes crystalline PmNd5Sm5 at its relaxed geometry. The functional is PBE.

Cell and atoms, written as POSCAR:
```
PmNd5Sm5
1.0
6.676 -1.921 1.226
-1.167 7.094 4.875
-1.095 1.821 9.550
Sm Nd Pm
5 5 1
direct
0.299 0.041 0.315
0.648 0.494 0.220
0.000 0.500 0.500
0.352 0.506 0.780
0.701 0.959 0.685
0.240 0.087 0.642
0.500 0.000 0.000
0.856 0.505 0.853
0.760 0.913 0.358
0.144 0.495 0.147
0.000 0.000 0.000
```

=====

## Q
This record from Alexandria via LeMat-Bulk describes crystalline PmNd5Sm5 at its relaxed geometry. The functional is PBE.

Cell and atoms, written as POSCAR:
```
PmNd5Sm5
1.0
-4.244 -4.160 -1.553
7.700 -1.059 -6.059
1.447 -3.666 5.862
Sm Nd Pm
5 5 1
direct
0.823 0.646 0.584
0.500 0.000 0.000
0.826 0.653 0.076
0.177 0.354 0.416
0.174 0.347 0.924
0.329 0.658 0.806
0.000 0.000 0.500
0.373 0.746 0.348
0.627 0.254 0.652
0.671 0.342 0.194
0.000 0.000 0.000
```

=====

Verdict on stability: P comes out on top.

=====

## P
This record from Alexandria via LeMat-Bulk describes crystalline Pm8Nd2Sm3 at its relaxed geometry. The functional is PBE.

Cell and atoms, written as POSCAR:
```
Pm8Nd2Sm3
1.0
-0.760 -6.622 1.802
7.248 0.710 5.664
-8.001 2.822 2.370
Sm Pm Nd
3 8 2
direct
0.500 0.000 0.000
0.000 0.831 0.000
0.000 0.169 0.000
0.800 0.207 0.415
0.875 0.584 0.169
0.200 0.793 0.585
0.433 0.795 0.229
0.433 0.434 0.229
0.567 0.205 0.771
0.125 0.416 0.831
0.567 0.566 0.771
0.287 0.200 0.401
0.713 0.800 0.599
```

=====

## Q
This record from Alexandria via LeMat-Bulk describes crystalline Pm8Nd2Sm3 at its relaxed geometry. The functional is PBE.

Cell and atoms, written as POSCAR:
```
Pm8Nd2Sm3
1.0
-5.436 -2.581 -1.676
0.485 -7.159 9.455
-5.581 6.611 -2.158
Pm Sm Nd
8 3 2
direct
0.054 0.846 0.692
0.779 0.448 0.896
0.672 0.572 0.659
0.221 0.552 0.104
0.328 0.428 0.341
0.328 0.914 0.341
0.672 0.086 0.659
0.946 0.154 0.308
0.000 0.757 0.000
0.000 0.243 0.000
0.500 0.000 0.000
0.656 0.714 0.427
0.344 0.286 0.573
```

=====

Verdict on stability: Q comes out on top.